Entry 1:
Below is a relaxed structure of Ba2Tl6RhPb, with properties calculated at the PBE-GGA level.

Output
Energy relative to the elements, meV per atom: -147

a b c (Å): 7.5775 7.5775 40.1691
angles (deg): 90.00 90.00 120.00
Space group R-3m (No. 166, hexagonal axes)
Inequivalent atoms, fractional coordinates:
Ba1 0.0000 0.0000 0.1038 (multiplicity 6)
Ba2 0.0000 0.0000 0.2797 (multiplicity 6)
Tl1 0.0426 0.5213 0.3041 (multiplicity 18)
Tl2 0.0561 0.5280 0.8621 (multiplicity 18)
Rh1 0.0000 0.0000 0.0000 (multiplicity 3)
Rh2 0.0000 0.0000 0.5000 (multiplicity 3)
Pb1 0.0000 0.0000 0.4262 (multiplicity 6)

***

Entry 2:
Below is a relaxed structure of LiCaNF2, with properties calculated at the PBE-GGA level.

Output
Excess energy over the best structure of this formula in the dataset, eV/atom: 0.203
Raw formation energy, meV/atom: -1472

a b c (Å): 4.408 4.408 4.865
angles (deg): 90.00 90.00 90.00
Space group P4/mmm (No. 123)
Inequivalent atoms, fractional coordinates:
Li1 0.000 0.000 0.000 (multiplicity 1)
Ca1 0.500 0.500 0.500 (multiplicity 1)
N1 0.500 0.500 0.000 (multiplicity 1)
F1 0.000 0.500 0.500 (multiplicity 2)

***

Entry 3:
Below is a relaxed structure of Tb2Pm2Hg, with properties calculated at the PBE-GGA level.

Output
Excess energy over the best structure of this formula in the dataset, eV/atom: 0.000
Energy relative to the elements, meV per atom: -182

a b c (Å): 3.639 3.639 23.148
angles (deg): 90.00 90.00 90.00
Space group I4/mmm (No. 139)
Inequivalent atoms, fractional coordinates:
Tb1 0.000 0.000 0.085 (multiplicity 4)
Pm1 0.000 0.000 0.306 (multiplicity 4)
Hg1 0.000 0.000 0.500 (multiplicity 2)

***

Entry 4:
Below is a relaxed structure of AlInRe2, with properties calculated at the PBE-GGA level.

Output
Excess energy over the best structure of this formula in the dataset, eV/atom: 0.299
Energy relative to the elements, meV per atom: 401

a b c (Å): 3.049 4.727 8.997
angles (deg): 90.00 90.00 90.00
Space group Immm (No. 71)
Inequivalent atoms, fractional coordinates:
Al1 0.000 0.000 0.000 (multiplicity 2)
In1 0.000 0.000 0.500 (multiplicity 2)
Re1 0.000 0.500 0.263 (multiplicity 4)

***

Entry 5:
Below is a relaxed structure of Li2ZrCd8, with properties calculated at the PBE-GGA level.

Output
Energy relative to the elements, meV per atom: -120

a b c (Å): 4.712 7.622 13.050
angles (deg): 90.00 90.00 90.00
Space group Immm (No. 71)
Inequivalent atoms, fractional coordinates:
Li1 0.000 0.000 0.214 (multiplicity 4)
Zr1 0.000 0.000 0.500 (multiplicity 2)
Cd1 0.000 0.199 0.000 (multiplicity 4)
Cd2 0.000 0.304 0.357 (multiplicity 8)
Cd3 0.000 0.500 0.158 (multiplicity 4)

***

Entry 6:
Below is a relaxed structure of Ca3Ni3P2, with properties calculated at the PBE-GGA level.

Output
Energy relative to the elements, meV per atom: -650

a b c (Å): 9.222 3.896 17.423
angles (deg): 90.00 90.00 90.00
Space group Pnma (No. 62)
Inequivalent atoms, fractional coordinates:
Ca1 0.108 0.250 0.069 (multiplicity 4)
Ca2 0.123 0.250 0.679 (multiplicity 4)
Ca3 0.146 0.250 0.435 (multiplicity 4)
Ni1 0.056 0.750 0.193 (multiplicity 4)
Ni2 0.124 0.750 0.816 (multiplicity 4)
Ni3 0.198 0.750 0.309 (multiplicity 4)
P1 0.122 0.250 0.895 (multiplicity 4)
P2 0.123 0.250 0.253 (multiplicity 4)

***

Entry 7:
Below is a relaxed structure of PtRhBr2, with properties calculated at the PBE-GGA level.

Output
Excess energy over the best structure of this formula in the dataset, eV/atom: 0.000
Raw formation energy, meV/atom: -33

a b c (Å): 3.8598 3.8598 21.9820
angles (deg): 90.00 90.00 120.00
Space group R3m (No. 160, hexagonal axes)
Inequivalent atoms, fractional coordinates:
Pt1 0.0000 0.0000 0.0000 (multiplicity 3)
Rh1 0.0000 0.0000 0.7255 (multiplicity 3)
Br1 0.0000 0.0000 0.2711 (multiplicity 3)
Br2 0.0000 0.0000 0.4504 (multiplicity 3)

***

Entry 8:
Below is a relaxed structure of PaInBi2, with properties calculated at the PBE-GGA level.

Output
Excess energy over the best structure of this formula in the dataset, eV/atom: 0.017
Energy relative to the elements, meV per atom: -129

a b c (Å): 4.141 4.141 6.744
angles (deg): 90.00 90.00 90.00
Space group P4/mmm (No. 123)
Inequivalent atoms, fractional coordinates:
Pa1 0.000 0.000 0.000 (multiplicity 1)
In1 0.000 0.000 0.500 (multiplicity 1)
Bi1 0.500 0.500 0.237 (multiplicity 2)

***

Entry 9:
Below is a relaxed structure of NdYAlHg, with properties calculated at the PBE-GGA level.

Output
Excess energy over the best structure of this formula in the dataset, eV/atom: 0.000
Energy relative to the elements, meV per atom: -442

a b c (Å): 3.616 3.616 7.894
angles (deg): 90.00 90.00 90.00
Space group P4mm (No. 99)
Inequivalent atoms, fractional coordinates:
Nd1 0.000 0.000 0.000 (multiplicity 1)
Y1 0.000 0.000 0.479 (multiplicity 1)
Al1 0.500 0.500 0.247 (multiplicity 1)
Hg1 0.500 0.500 0.721 (multiplicity 1)

***

Entry 10:
Below is a relaxed structure of HoTaGe2O8, with properties calculated at the PBE-GGA level.

Output
Raw formation energy, meV/atom: -2373

a b c (Å): 6.823 6.823 6.265
angles (deg): 90.00 90.00 90.00
Space group I-4m2 (No. 119)
Inequivalent atoms, fractional coordinates:
Ho1 0.000 0.000 0.000 (multiplicity 2)
Ta1 0.000 0.500 0.250 (multiplicity 2)
Ge1 0.000 0.000 0.500 (multiplicity 2)
Ge2 0.000 0.500 0.750 (multiplicity 2)
O1 0.000 0.198 0.317 (multiplicity 8)
O2 0.000 0.324 0.956 (multiplicity 8)

***

Entry 11:
Below is a relaxed structure of Tb4SmHo10, with properties calculated at the PBE-GGA level.

Output
Energy relative to the elements, meV per atom: 740

a b c (Å): 12.122 12.122 7.661
angles (deg): 90.00 90.00 90.00
Space group I4/m (No. 87)
Inequivalent atoms, fractional coordinates:
Tb1 0.100 0.700 0.000 (multiplicity 8)
Sm1 0.000 0.000 0.500 (multiplicity 2)
Ho1 0.000 0.500 0.250 (multiplicity 4)
Ho2 0.101 0.201 0.249 (multiplicity 16)

***

Entry 12:
Below is a relaxed structure of EuLuNiAg, with properties calculated at the PBE-GGA level.

Output
Energy relative to the elements, meV per atom: -187

a b c (Å): 7.088 7.088 7.088
angles (deg): 90.00 90.00 90.00
Space group F-43m (No. 216)
Inequivalent atoms, fractional coordinates:
Eu1 0.000 0.000 0.000 (multiplicity 4)
Lu1 0.000 0.000 0.500 (multiplicity 4)
Ni1 0.250 0.250 0.250 (multiplicity 4)
Ag1 0.250 0.250 0.750 (multiplicity 4)

***

> Number 2 is which compound?

LiCaNF2